[1]
! SCAN RbLi2Te2, single point on PBEsol structure; values from VASP
! Magnetization = 0.59 μB/cell
! Mass density = 4185 kg/m3
! Energy relative to the elements, uncorrected = -1.006 eV per atom
! V = 28.1 Å³ per atom
! Relative energy among the computed polymorphs = 0 meV/atom
&SYSTEM
  ibrav = 0, nat = 5, ntyp = 3
/
ATOMIC_SPECIES
Rb 85.47 Rb.upf
Li 6.94 Li.upf
Te 127.60 Te.upf
CELL_PARAMETERS angstrom
-2.3850 2.3850 6.1826
2.3850 -2.3850 6.1826
2.3850 2.3850 -6.1826
ATOMIC_POSITIONS angstrom
Rb 0.0000 0.0000 0.0000
Li 2.3850 0.0000 3.0913
Li 0.0000 2.3850 3.0913
Te 0.0000 0.0000 4.5153
Te 0.0000 0.0000 7.8499

[2]
! SCAN Rb3LiTi, single point on PBEsol structure; values from VASP
! Magnetization = 3.84 μB/cell
! Mass density = 1560 kg/m3
! ΔE_f = 0.832 eV/atom
! V = 66.3 Å³ per atom
&SYSTEM
  ibrav = 0, nat = 5, ntyp = 3
/
ATOMIC_SPECIES
Rb 85.47 Rb.upf
Li 6.94 Li.upf
Ti 47.87 Ti.upf
CELL_PARAMETERS angstrom
6.9192 0.0000 0.0000
0.0000 6.9192 0.0000
0.0000 0.0000 6.9192
ATOMIC_POSITIONS angstrom
Rb 0.0000 0.0000 3.4596
Rb 0.0000 3.4596 0.0000
Rb 3.4596 0.0000 0.0000
Li 3.4596 3.4596 3.4596
Ti 0.0000 0.0000 0.0000

[3]
! SCAN RbLi2Ti, single point on PBEsol structure; values from VASP
! Magnetization = 2.75 μB/cell
! Mass density = 2041 kg/m3
! ΔE_f = 0.750 eV/atom
! V = 29.9 Å³ per atom
&SYSTEM
  ibrav = 0, nat = 4, ntyp = 3
/
ATOMIC_SPECIES
Rb 85.47 Rb.upf
Li 6.94 Li.upf
Ti 47.87 Ti.upf
CELL_PARAMETERS angstrom
0.0000 3.9123 3.9123
3.9123 0.0000 3.9123
3.9123 3.9123 0.0000
ATOMIC_POSITIONS angstrom
Rb 0.0000 0.0000 0.0000
Li 1.9562 1.9562 1.9562
Li 5.8685 5.8685 5.8685
Ti 3.9123 3.9123 3.9123

[4]
! SCAN RbLi3Tl, single point on PBEsol structure; values from VASP
! Magnetization = 0.00 μB/cell
! Mass density = 3241 kg/m3
! ΔE_f = -0.097 eV/atom
! V = 31.8 Å³ per atom
! Relative energy among the computed polymorphs = 0 meV/atom
&SYSTEM
  ibrav = 0, nat = 5, ntyp = 3
/
ATOMIC_SPECIES
Rb 85.47 Rb.upf
Li 6.94 Li.upf
Tl 204.38 Tl.upf
CELL_PARAMETERS angstrom
5.4193 0.0000 0.0000
0.0000 5.4193 0.0000
0.0000 0.0000 5.4193
ATOMIC_POSITIONS angstrom
Rb 0.0000 0.0000 0.0000
Li 0.0000 2.7096 2.7096
Li 2.7096 0.0000 2.7096
Li 2.7096 2.7096 0.0000
Tl 2.7096 2.7096 2.7096

[5]
! SCAN RbLi3Tl, single point on PBEsol structure; values from VASP
! Magnetization = 0.00 μB/cell
! Mass density = 2999 kg/m3
! ΔE_f = 0.701 eV/atom
! V = 34.4 Å³ per atom
! Relative energy among the computed polymorphs = 799 meV/atom
&SYSTEM
  ibrav = 0, nat = 5, ntyp = 3
/
ATOMIC_SPECIES
Rb 85.47 Rb.upf
Li 6.94 Li.upf
Tl 204.38 Tl.upf
CELL_PARAMETERS angstrom
5.5615 0.0000 0.0000
0.0000 5.5615 0.0000
0.0000 0.0000 5.5615
ATOMIC_POSITIONS angstrom
Rb 0.0000 0.0000 0.0000
Li 0.0000 0.0000 2.7808
Li 0.0000 2.7808 0.0000
Li 2.7808 0.0000 0.0000
Tl 2.7808 2.7808 2.7808

[6]
! SCAN RbLiY2, single point on PBEsol structure; values from VASP
! Magnetization = 1.28 μB/cell
! Mass density = 3487 kg/m3
! ΔE_f = 0.683 eV/atom
! V = 32.2 Å³ per atom
&SYSTEM
  ibrav = 0, nat = 4, ntyp = 3
/
ATOMIC_SPECIES
Rb 85.47 Rb.upf
Li 6.94 Li.upf
Y 88.91 Y.upf
CELL_PARAMETERS angstrom
0.0000 4.0072 4.0072
4.0072 0.0000 4.0072
4.0072 4.0072 0.0000
ATOMIC_POSITIONS angstrom
Rb 0.0000 0.0000 0.0000
Li 4.0072 4.0072 4.0072
Y 2.0036 2.0036 2.0036
Y 6.0108 6.0108 6.0108

[7]
! SCAN RbLi3Y, single point on PBEsol structure; values from VASP
! Magnetization = 2.24 μB/cell
! Mass density = 1438 kg/m3
! ΔE_f = 0.729 eV/atom
! V = 45.1 Å³ per atom
! Relative energy among the computed polymorphs = 0 meV/atom
&SYSTEM
  ibrav = 0, nat = 5, ntyp = 3
/
ATOMIC_SPECIES
Rb 85.47 Rb.upf
Li 6.94 Li.upf
Y 88.91 Y.upf
CELL_PARAMETERS angstrom
6.0863 0.0000 0.0000
0.0000 6.0863 0.0000
0.0000 0.0000 6.0863
ATOMIC_POSITIONS angstrom
Rb 0.0000 0.0000 0.0000
Li 0.0000 3.0432 3.0432
Li 3.0432 0.0000 3.0432
Li 3.0432 3.0432 0.0000
Y 3.0432 3.0432 3.0432

[8]
! SCAN RbLi3Y, single point on PBEsol structure; values from VASP
! Magnetization = 0.00 μB/cell
! Mass density = 2175 kg/m3
! ΔE_f = 0.774 eV/atom
! V = 29.8 Å³ per atom
! Relative energy among the computed polymorphs = 45 meV/atom
&SYSTEM
  ibrav = 0, nat = 5, ntyp = 3
/
ATOMIC_SPECIES
Rb 85.47 Rb.upf
Li 6.94 Li.upf
Y 88.91 Y.upf
CELL_PARAMETERS angstrom
5.3018 0.0000 0.0000
0.0000 5.3018 0.0000
0.0000 0.0000 5.3018
ATOMIC_POSITIONS angstrom
Rb 0.0000 0.0000 0.0000
Li 0.0000 0.0000 2.6509
Li 0.0000 2.6509 0.0000
Li 2.6509 0.0000 0.0000
Y 2.6509 2.6509 2.6509

[9]
! SCAN Rb2LiY2, single point on PBEsol structure; values from VASP
! Magnetization = 1.22 μB/cell
! Mass density = 2341 kg/m3
! ΔE_f = 0.548 eV/atom
! V = 50.5 Å³ per atom
&SYSTEM
  ibrav = 0, nat = 5, ntyp = 3
/
ATOMIC_SPECIES
Rb 85.47 Rb.upf
Li 6.94 Li.upf
Y 88.91 Y.upf
CELL_PARAMETERS angstrom
-2.2316 2.2316 12.6676
2.2316 -2.2316 12.6676
2.2316 2.2316 -12.6676
ATOMIC_POSITIONS angstrom
Rb 0.0000 0.0000 2.6903
Rb 0.0000 0.0000 22.6448
Li 0.0000 0.0000 12.6676
Y 2.2316 0.0000 6.3338
Y 0.0000 2.2316 6.3338

[10]
! SCAN RbLi2Zn, single point on PBEsol structure; values from VASP
! Magnetization = 0.00 μB/cell
! Mass density = 1941 kg/m3
! ΔE_f = 0.229 eV/atom
! V = 35.2 Å³ per atom
&SYSTEM
  ibrav = 0, nat = 8, ntyp = 3
/
ATOMIC_SPECIES
Rb 85.47 Rb.upf
Li 6.94 Li.upf
Zn 65.41 Zn.upf
CELL_PARAMETERS angstrom
-2.7774 2.7774 9.1359
2.7774 -2.7774 9.1359
2.7774 2.7774 -9.1359
ATOMIC_POSITIONS angstrom
Rb 2.7774 1.3887 2.2840
Rb 0.0000 1.3887 6.8519
Li 0.0000 0.0000 0.0000
Li 1.3887 1.3887 -4.5679
Li 1.3887 -1.3887 4.5679
Li 0.0000 2.7774 0.0000
Zn 2.7774 -1.3887 6.8519
Zn 0.0000 4.1661 2.2840

[11]
! SCAN RbLiZn2, single point on PBEsol structure; values from VASP
! Magnetization = 0.00 μB/cell
! Mass density = 3391 kg/m3
! ΔE_f = 0.342 eV/atom
! V = 27.3 Å³ per atom
! Relative energy among the computed polymorphs = 173 meV/atom
&SYSTEM
  ibrav = 0, nat = 4, ntyp = 3
/
ATOMIC_SPECIES
Rb 85.47 Rb.upf
Li 6.94 Li.upf
Zn 65.41 Zn.upf
CELL_PARAMETERS angstrom
0.0000 3.7951 3.7951
3.7951 0.0000 3.7951
3.7951 3.7951 0.0000
ATOMIC_POSITIONS angstrom
Rb 0.0000 0.0000 0.0000
Li 3.7951 3.7951 3.7951
Zn 1.8975 1.8975 1.8975
Zn 5.6926 5.6926 5.6926

[12]
! SCAN RbLiZn2, single point on PBEsol structure; values from VASP
! Magnetization = 0.00 μB/cell
! Mass density = 3129 kg/m3
! ΔE_f = 0.169 eV/atom
! V = 29.6 Å³ per atom
! Relative energy among the computed polymorphs = 0 meV/atom
&SYSTEM
  ibrav = 0, nat = 8, ntyp = 3
/
ATOMIC_SPECIES
Rb 85.47 Rb.upf
Li 6.94 Li.upf
Zn 65.41 Zn.upf
CELL_PARAMETERS angstrom
-2.4698 2.4698 9.7115
2.4698 -2.4698 9.7115
2.4698 2.4698 -9.7115
ATOMIC_POSITIONS angstrom
Rb 2.4698 1.2349 2.4279
Rb 0.0000 1.2349 7.2837
Li 2.4698 -1.2349 7.2837
Li 0.0000 3.7047 2.4279
Zn 0.0000 0.0000 0.0000
Zn 1.2349 1.2349 -4.8558
Zn 1.2349 -1.2349 4.8558
Zn 0.0000 2.4698 0.0000